This record from Alexandria via LeMat-Bulk describes crystalline Li2CrFeO4 at its relaxed geometry. The functional is PBE+U.

Geometry as POSCAR:
```
Li2CrFeO4
1.0
9.6718 -1.4656 0.0000
9.6718 1.4656 0.0000
-0.4387 0.0000 5.0391
Li Cr Fe O
4 2 2 8
Direct
0.0000 0.0000 0.0000
0.2484 0.2484 0.7526
0.5000 0.5000 0.5000
0.7516 0.7516 0.2474
0.1252 0.1252 0.3749
0.8748 0.8748 0.6251
0.3752 0.3752 0.1252
0.6248 0.6248 0.8748
0.0693 0.0693 0.6939
0.1804 0.1804 0.0546
0.3186 0.3186 0.4349
0.4312 0.4312 0.8139
0.5688 0.5688 0.1861
0.6814 0.6814 0.5651
0.8196 0.8196 0.9454
0.9307 0.9307 0.3061
```

## Properties
The calculation puts the total energy at -6.33 eV per atom. Its density of states at the Fermi level is 0.00 states/eV per cell. The calculation puts the excess energy over the best structure of this formula in the dataset at 180 meV per atom. As for the calculated volume: 142.9 Å³ per cell.